[1]
The following is a DFT calculation (GGA-PBEsol) of an optimized crystal structure of Li2MnFeB2O6.

Summary:
Density, Mg/m³: 3.44
Energy above the lowest structure with this stoichiometry, meV/atom: 13
E_form (uncorrected), meV per atom: -1903
Electronic total energy, eV per atom: -7.5850

The structure in extended XYZ format:
```
36
Lattice="-2.233 5.678 0.291 -6.988 -2.901 3.002 6.030 2.113 5.043" Properties=species:S:1:pos:R:3 pbc="T T T"
O -6.271 -0.958 3.205
O -2.086 0.501 6.862
O -4.934 2.804 2.672
O -1.929 0.736 3.807
O -2.390 3.890 1.345
O 1.847 3.768 4.765
O -4.973 2.666 5.075
O -3.889 -0.092 4.933
O -0.249 2.903 5.558
O -3.850 0.046 2.531
O 2.947 0.917 4.711
O -3.014 3.494 3.949
O -7.367 1.830 3.347
O 0.125 3.171 3.201
O 1.324 0.365 3.027
O 0.802 0.042 5.350
O -3.182 3.289 7.005
O -1.294 1.102 1.203
Li 0.204 4.884 2.205
Li -1.992 3.848 5.559
Li -0.884 1.030 5.414
Li 1.313 2.065 2.060
Li 2.957 2.519 5.833
Li 1.849 5.337 5.977
Fe -1.652 2.498 2.698
Fe -5.768 0.894 2.410
Fe -3.875 1.435 6.375
Mn -2.789 -1.414 6.204
Mn -0.541 -0.345 2.593
Mn -4.616 -1.930 2.250
B -1.661 4.224 0.216
B -0.572 1.454 0.074
B -3.221 0.227 3.757
B 1.691 0.441 4.363
B -4.308 2.991 3.899
B 0.575 3.280 4.508
```

[2]
The following is a DFT calculation (GGA-PBEsol) of an optimized crystal structure of BHSeBr2.

Summary:
Density, Mg/m³: 4.61
Electronic total energy, eV per atom: -2.4590

The structure in extended XYZ format:
```
5
Lattice="-0.092 -3.442 0.500 1.936 0.627 4.666 -4.706 0.401 1.898" Properties=species:S:1:pos:R:3 pbc="T T T"
Se -0.046 -1.721 0.250
H 0.000 0.000 0.000
B -1.431 -1.207 3.533
Br 0.968 0.313 2.333
Br -2.353 0.201 0.949
```

[3]
The following is a DFT calculation (GGA-PBEsol) of an optimized crystal structure of SrYBi2H.

Summary:
Density, Mg/m³: 4.72
Electronic total energy, eV per atom: -2.8719

The structure in extended XYZ format:
```
5
Lattice="-4.035 3.384 -2.785 0.829 -3.128 -5.002 -4.265 -3.742 1.633" Properties=species:S:1:pos:R:3 pbc="T T T"
H -3.735 -1.743 -3.077
Sr 0.000 0.000 0.000
Bi -2.018 1.692 -1.393
Bi 0.415 -1.564 -2.501
Y -2.132 -1.871 0.816
```